# 1
Material: RbBaTl4
Method: DFT, PBE
State: optimized geometry

Cell: 6.705 6.705 6.705 Å, 60.00 60.00 60.00°
Atoms (fractional coordinates):
Ba: 0.000 0.000 0.000
Tl: 0.625 0.125 0.625
Tl: 0.625 0.625 0.625
Tl: 0.625 0.625 0.125
Rb: 0.250 0.250 0.250
Tl: 0.125 0.625 0.625

Magnetic moment in μB per formula unit: 0.00
Final energy in eV/atom: -2.271
Calculated density in Mg/m³: 8.11
SG: F-43m
ΔH_f (0 K) in meV per atom: -212

# 2
Material: DyLuBr
Method: DFT, PBE
State: optimized geometry

Cell: 3.672 3.672 7.207 Å, 90.00 90.00 120.00°
Atoms (fractional coordinates):
Lu: 0.000 0.000 0.986
Dy: 0.667 0.333 0.345
Br: 0.333 0.667 0.669

Magnetic moment in μB per formula unit: 0.16
Final energy in eV/atom: -4.311
Calculated density in Mg/m³: 8.24
Formation energy (no corrections) in eV/atom: -0.7124
SG: P3m1